[1]
Material: NdNp2Si6
Method: DFT, PBE
State: relaxed

## Properties
* spin magnetization: 7.6 μB per formula unit
* calculated volume: 18.85 A^3/atom
* E: -66.4 eV for the cell shown

Cell: 3.9319 7.0592 7.0592 Å, 120.00 90.00 90.00°
Site moments in Bohr magnetons follow the coordinates.
Atoms (fractional coordinates):
Si 0.5000 0.3362 0.0000  -0.02
Si 0.5000 0.6638 0.6638  -0.02
Si 0.5000 0.3362 0.3362  -0.02
Si 0.5000 0.0000 0.6638  -0.02
Si 0.5000 0.0000 0.3362  -0.02
Si 0.5000 0.6638 0.0000  -0.02
Np 0.0000 0.3333 0.6667  3.58
Np 0.0000 0.6667 0.3333  3.58
Nd 0.0000 0.0000 0.0000  -0.01

[2]
Material: CeAu6
Method: DFT, PBE
State: relaxed

## Properties
* spin magnetization: 0.8 μB per formula unit
* calculated volume: 20.27 A^3/atom
* ΔE to the lowest computed polymorph: 0 meV per atom
* E: -56.4 eV for the cell shown
* DFT formation energy: -0.373 eV/atom

Cell: 5.5766 5.5766 9.2760 Å, 82.66 82.66 89.69°
Site moments in Bohr magnetons follow the coordinates.
Atoms (fractional coordinates):
Au 0.8341 0.4579 0.6275  0.00
Au 0.2186 0.3863 0.0806  0.00
Au 0.1659 0.5421 0.3725  0.00
Au 0.8445 0.9551 0.6376  0.00
Au 0.3863 0.2186 0.5806  0.00
Au 0.7814 0.6137 0.9194  0.00
Au 0.9551 0.8445 0.1376  0.00
Au 0.0449 0.1555 0.8624  0.00
Au 0.4579 0.8341 0.1275  0.00
Au 0.1555 0.0449 0.3624  0.00
Au 0.6137 0.7814 0.4194  0.00
Au 0.5421 0.1659 0.8725  0.00
Ce 0.6839 0.3161 0.2500  0.77
Ce 0.3161 0.6839 0.7500  0.77

[3]
Material: CrIN2
Method: DFT, PBE
State: relaxed

## Properties
* spin magnetization: 0.9 μB per formula unit
* calculated volume: 16.71 A^3/atom
* ΔE to the lowest computed polymorph: 0 meV per atom
* E: -52.9 eV for the cell shown

Cell: 5.7402 5.7402 5.7392 Å, 59.99 59.99 90.00°
Site moments in Bohr magnetons follow the coordinates.
Atoms (fractional coordinates):
N 0.3750 0.6247 0.7500  0.14
N 0.3747 0.6250 0.2500  0.14
N 0.3753 0.1250 0.2500  0.15
N 0.8750 0.6253 0.7500  0.12
Cr 0.2500 0.7500 0.5000  -0.17
Cr 0.5000 0.5000 0.0000  -0.17
I 0.7500 0.2500 0.5000  0.53
I 0.0000 0.0000 0.0000  0.53

[4]
Material: MgNb2Ge
Method: DFT, PBE
State: relaxed

## Properties
* spin magnetization: 0.0 μB per formula unit
* calculated volume: 18.99 A^3/atom
* E: -50.7 eV for the cell shown
* DFT formation energy: 0.252 eV/atom

Cell: 7.3824 7.3824 5.9181 Å, 51.41 51.41 90.00°
Atoms (fractional coordinates):
Mg 0.2500 0.7500 0.5000
Mg 0.5000 0.5000 0.0000
Nb 0.1012 0.6250 0.2500
Nb 0.6488 0.1250 0.2500
Nb 0.3750 0.3512 0.7500
Nb 0.8750 0.8988 0.7500
Ge 0.0000 0.0000 0.0000
Ge 0.7500 0.2500 0.5000

[5]
Material: TlHg2Ir
Method: DFT, PBE
State: relaxed

## Properties
* spin magnetization: 0.0 μB per formula unit
* calculated volume: 20.90 A^3/atom
* ΔE to the lowest computed polymorph: 257 meV per atom
* E: -9.7 eV for the cell shown
* DFT formation energy: 0.535 eV/atom

Cell: 5.2258 5.2258 3.3296 Å, 90.00 90.00 113.14°
Atoms (fractional coordinates):
Hg 0.0000 0.0000 0.0000
Hg 0.5000 0.5000 0.0000
Ir 0.5000 0.0000 0.5000
Tl 0.0000 0.5000 0.5000

[6]
Material: SmMnC
Method: DFT, PBE
State: relaxed

## Properties
* spin magnetization: 1.0 μB per formula unit
* calculated volume: 17.33 A^3/atom
* ΔE to the lowest computed polymorph: 20 meV per atom
* E: -47.2 eV for the cell shown
* DFT formation energy: -0.155 eV/atom

Cell: 3.2403 3.7465 8.5652 Å, 90.00 90.02 90.00°
Site moments in Bohr magnetons follow the coordinates.
Atoms (fractional coordinates):
Sm 0.7502 0.2500 0.3094  0.01
Sm 0.2498 0.7500 0.6906  0.01
C 0.7500 0.7500 0.9061  -0.07
C 0.2500 0.2500 0.0939  -0.07
Mn 0.2501 0.7500 0.0421  1.06
Mn 0.7499 0.2500 0.9579  1.06

[7]
Material: AcMg2Zn2Ir
Method: DFT, PBE
State: relaxed

## Properties
* spin magnetization: 0.0 μB per formula unit
* calculated volume: 25.83 A^3/atom
* E: -19.3 eV for the cell shown
* DFT formation energy: -0.100 eV/atom

Cell: 4.2448 4.2448 9.1101 Å, 103.47 103.47 90.00°
Atoms (fractional coordinates):
Zn 0.1417 0.1417 0.2833
Zn 0.8583 0.8583 0.7167
Ac 0.5000 0.5000 0.0000
Mg 0.2500 0.7500 0.5000
Mg 0.7500 0.2500 0.5000
Ir 0.0000 0.0000 0.0000

[8]
Material: LiCr2
Method: DFT, PBE
State: relaxed

## Properties
* spin magnetization: 0.0 μB per formula unit
* calculated volume: 11.97 A^3/atom
* ΔE to the lowest computed polymorph: 33 meV per atom
* E: -39.6 eV for the cell shown
* DFT formation energy: 0.451 eV/atom

Cell: 5.2610 5.2610 6.1619 Å, 80.56 80.56 25.29°
Atoms (fractional coordinates):
Cr 0.0241 0.0241 0.6881
Cr 0.3666 0.3666 0.0090
Cr 0.6334 0.6334 0.9910
Cr 0.9759 0.9759 0.3119
Li 0.7073 0.7073 0.3496
Li 0.2927 0.2927 0.6504

Repeat the first record exactly.
Material: NdNp2Si6
Method: DFT, PBE
State: relaxed

## Properties
* spin magnetization: 7.6 μB per formula unit
* calculated volume: 18.85 A^3/atom
* E: -66.4 eV for the cell shown

Cell: 3.9319 7.0592 7.0592 Å, 120.00 90.00 90.00°
Site moments in Bohr magnetons follow the coordinates.
Atoms (fractional coordinates):
Si 0.5000 0.3362 0.0000  -0.02
Si 0.5000 0.6638 0.6638  -0.02
Si 0.5000 0.3362 0.3362  -0.02
Si 0.5000 0.0000 0.6638  -0.02
Si 0.5000 0.0000 0.3362  -0.02
Si 0.5000 0.6638 0.0000  -0.02
Np 0.0000 0.3333 0.6667  3.58
Np 0.0000 0.6667 0.3333  3.58
Nd 0.0000 0.0000 0.0000  -0.01

Question: Which of these has the highest spin magnetization?
Answer: NdNp2Si6